Computed, not measured: a geometry-optimized SiTePd2W structure at the PBE-GGA level of DFT.

POSCAR file:
```
SiTePd2W
1.0
4.864 0.000 0.000
0.000 4.864 0.000
0.000 0.000 5.116
Si Te Pd W
1 1 2 1
Direct
0.000 0.000 0.000
0.500 0.500 0.500
0.000 0.500 0.500
0.500 0.000 0.500
0.500 0.500 0.000
```

Computed properties:
DOS at the Fermi energy in states/eV/f.u.: 3.4
Formation energy without anion corrections in eV/atom: 1.356
ρ in g/cm³: 7.58
Uncorrected energy in eV per atom: -5.024

---

Computed, not measured: a geometry-optimized CsZn2Te2 structure at the PBE-GGA level of DFT.

POSCAR file:
```
CsZn2Te2
1.0
-2.612 2.612 5.481
2.612 -2.612 5.481
2.612 2.612 -5.481
Cs Zn Te
1 2 2
Direct
0.000 0.000 0.000
0.385 0.385 0.000
0.615 0.615 0.000
0.250 0.750 0.500
0.750 0.250 0.500
```

Computed properties:
DOS at the Fermi energy in states/eV/f.u.: 2.5
Distance to the lowest polymorph of the same formula in meV/atom: 159
Formation energy without anion corrections in eV/atom: -0.352
ρ in g/cm³: 5.76
Uncorrected energy in eV per atom: -2.289

---

Computed, not measured: a geometry-optimized SrTa2Pt structure at the PBE-GGA level of DFT.

POSCAR file:
```
SrTa2Pt
1.0
6.258 -1.470 0.000
6.258 1.470 0.000
-2.055 0.000 4.644
Sr Ta Pt
1 2 1
Direct
0.000 0.000 0.000
0.213 0.213 0.712
0.787 0.787 0.288
0.500 0.500 0.500
```

Computed properties:
DOS at the Fermi energy in states/eV/f.u.: 3.5
Distance to the lowest polymorph of the same formula in meV/atom: 73
Formation enthalpy at 0 K in kJ per mole of atoms: 12.3
ρ in g/cm³: 12.52
Uncorrected energy in eV per atom: -7.729